CdIn12Pb3: optimized geometry, PBE.

Structure (POSCAR):
```
CdIn12Pb3
1.0
4.820 0.000 0.000
0.000 4.820 0.000
0.000 0.000 19.311
Cd In Pb
1 12 3
direct
0.000 0.000 0.000 Cd
0.000 0.500 0.122 In
0.000 0.500 0.375 In
0.000 0.500 0.625 In
0.000 0.500 0.878 In
0.500 0.000 0.122 In
0.500 0.000 0.375 In
0.500 0.000 0.625 In
0.500 0.000 0.878 In
0.500 0.500 0.000 In
0.500 0.500 0.249 In
0.500 0.500 0.500 In
0.500 0.500 0.751 In
0.000 0.000 0.250 Pb
0.000 0.000 0.500 Pb
0.000 0.000 0.750 Pb
```

Output
Uncorrected energy (eV per formula unit): -44.31
Calculated volume (A^3/atom): 28.0
Crystal system: tetragonal
Symmetry: P4/mmm, No. 123

***

Mg2ZrPt: optimized geometry, PBE.

Structure (POSCAR):
```
Mg2ZrPt
1.0
10.192 0.000 0.000
0.000 3.021 0.000
-1.651 0.000 5.189
Mg Zr Pt
4 2 2
direct
0.000 0.000 0.000 Mg
0.225 0.000 0.800 Mg
0.500 0.500 0.000 Mg
0.725 0.500 0.800 Mg
0.285 0.500 0.338 Zr
0.785 0.000 0.338 Zr
0.028 0.500 0.453 Pt
0.528 0.000 0.453 Pt
```

Output
Uncorrected energy (eV per formula unit): -19.22
Calculated volume (A^3/atom): 20.0
Crystal system: monoclinic
Symmetry: Cm, No. 8

***

NiC: optimized geometry, PBE.

Structure (POSCAR):
```
NiC
1.0
7.362 0.000 0.000
0.000 2.311 0.000
0.000 0.000 2.998
Ni C
2 2
direct
0.250 0.000 0.244 Ni
0.750 0.000 0.756 Ni
0.250 0.500 0.744 C
0.750 0.500 0.256 C
```

Output
Uncorrected energy (eV per formula unit): -12.67
Calculated volume (A^3/atom): 12.8
Crystal system: orthorhombic
Symmetry: Pmma, No. 51

***

Tb5CeBi5: optimized geometry, PBE.

Structure (POSCAR):
```
Tb5CeBi5
1.0
7.023 -3.166 0.000
7.023 3.166 0.000
-2.796 0.000 8.457
Tb Ce Bi
5 1 5
direct
0.000 0.000 0.000 Tb
0.335 0.335 0.670 Tb
0.337 0.337 0.164 Tb
0.663 0.663 0.836 Tb
0.665 0.665 0.330 Tb
0.000 0.000 0.500 Ce
0.168 0.168 0.838 Bi
0.171 0.171 0.330 Bi
0.500 0.500 0.500 Bi
0.829 0.829 0.670 Bi
0.832 0.832 0.162 Bi
```

Output
Uncorrected energy (eV per formula unit): -55.84
Calculated volume (A^3/atom): 34.2
Crystal system: monoclinic
Symmetry: C2/m, No. 12

***

Ba3YTe4: optimized geometry, PBE.

Structure (POSCAR):
```
Ba3YTe4
1.0
8.417 0.000 0.000
0.000 9.670 0.000
-2.788 0.000 7.812
Ba Y Te
6 2 8
direct
0.000 0.123 0.250 Ba
0.000 0.375 0.750 Ba
0.000 0.625 0.250 Ba
0.000 0.877 0.750 Ba
0.500 0.375 0.250 Ba
0.500 0.625 0.750 Ba
0.500 0.122 0.750 Y
0.500 0.878 0.250 Y
0.265 0.357 0.517 Te
0.265 0.643 0.017 Te
0.279 0.111 0.998 Te
0.279 0.889 0.498 Te
0.721 0.111 0.502 Te
0.721 0.889 0.002 Te
0.735 0.357 0.983 Te
0.735 0.643 0.483 Te
```

Output
Uncorrected energy (eV per formula unit): -37.84
Calculated volume (A^3/atom): 39.7
Formation energy from raw total energies (eV per atom): -1.63
Crystal system: monoclinic
Symmetry: P2/c, No. 13
Relative energy among the computed polymorphs (eV/f.u.): 0.000

***

K3Pu2ScO9: optimized geometry, PBE.

Structure (POSCAR):
```
K3Pu2ScO9
1.0
5.935 0.000 0.000
-2.968 5.140 0.000
0.000 0.000 7.286
K Pu Sc O
3 2 1 9
direct
0.000 0.000 0.000 K
0.333 0.667 0.660 K
0.667 0.333 0.340 K
0.333 0.667 0.173 Pu
0.667 0.333 0.827 Pu
0.000 0.000 0.500 Sc
0.000 0.500 0.000 O
0.170 0.340 0.330 O
0.170 0.830 0.330 O
0.340 0.170 0.670 O
0.500 0.000 0.000 O
0.500 0.500 0.000 O
0.660 0.830 0.330 O
0.830 0.170 0.670 O
0.830 0.660 0.670 O
```

Output
Uncorrected energy (eV per formula unit): -121.05
Calculated volume (A^3/atom): 14.8
Formation energy from raw total energies (eV per atom): -2.54
Crystal system: trigonal
Symmetry: P-3m1, No. 164

***

SmTh2Ga6: optimized geometry, PBE.

Structure (POSCAR):
```
SmTh2Ga6
1.0
7.390 0.000 0.000
-3.695 6.400 0.000
0.000 0.000 4.239
Sm Th Ga
1 2 6
direct
0.000 0.000 0.000 Sm
0.333 0.667 0.000 Th
0.667 0.333 0.000 Th
0.000 0.333 0.500 Ga
0.000 0.667 0.500 Ga
0.333 0.000 0.500 Ga
0.333 0.333 0.500 Ga
0.667 0.000 0.500 Ga
0.667 0.667 0.500 Ga
```

Output
Uncorrected energy (eV per formula unit): -43.63
Calculated volume (A^3/atom): 22.3
Crystal system: hexagonal
Symmetry: P6/mmm, No. 191

***

Ca4BiAsN: optimized geometry, PBE.

Structure (POSCAR):
```
Ca4BiAsN
1.0
3.369 -7.908 0.000
3.369 7.908 0.000
0.000 0.000 6.741
Ca Bi As N
8 2 2 2
direct
0.000 0.500 0.000 Ca
0.000 0.500 0.500 Ca
0.083 0.917 0.750 Ca
0.404 0.596 0.750 Ca
0.500 0.000 0.000 Ca
0.500 0.000 0.500 Ca
0.596 0.404 0.250 Ca
0.917 0.083 0.250 Ca
0.396 0.604 0.250 Bi
0.604 0.396 0.750 Bi
0.115 0.885 0.250 As
0.885 0.115 0.750 As
0.250 0.750 0.750 N
0.750 0.250 0.250 N
```

Output
Uncorrected energy (eV per formula unit): -31.53
Calculated volume (A^3/atom): 25.7
Formation energy from raw total energies (eV per atom): -0.95
Crystal system: orthorhombic
Symmetry: Cmcm, No. 63